First-principles (PBE+U) data for a geometry-optimized HgMoAsO6 structure, as listed in the Alexandria database.

Cell: 5.1995 5.1995 4.9597 Å, 90.00 90.00 120.00°
With the nearest neighbours (Å) after each atom.
Fractional positions:
Hg 0.0000 0.0000 0.0000  6 O 2.45
Mo 0.6667 0.3333 0.5000  6 O 2.00
As 0.3333 0.6667 0.5000  6 O 1.87
O 0.0184 0.3912 0.7127  1 As 1.87, 1 Mo 2.00
O 0.0184 0.6272 0.2873  1 As 1.87, 1 Mo 2.00
O 0.3728 0.3912 0.2873  1 As 1.87, 1 Mo 2.00
O 0.3728 0.9816 0.7127  1 As 1.87, 1 Mo 2.00
O 0.6088 0.6272 0.7127  1 As 1.87, 1 Mo 2.00
O 0.6088 0.9816 0.2873  1 As 1.87, 1 Mo 2.00

Output
Fermi-level density of states = 0.0003 states/eV/atom
Electronic total energy = -5.77 eV per atom
Total magnetization = 1.0 μB per formula unit
Symmetry = P312 (149)